No. 1
This record from the Alexandria database describes a geometry-optimized K2NaPPb structure. The functional is PBE.

## Properties
- DFT formation energy: 0.54 eV per atom
- Electronic total energy: -9.93 eV per formula unit

Geometry as CIF:
```
data_K2NaPPb
_chemical_formula_sum 'K2 Na1 P1 Pb1'
_cell_length_a 5.977
_cell_length_b 5.977
_cell_length_c 5.828
_cell_angle_alpha 90.00
_cell_angle_beta 90.00
_cell_angle_gamma 90.00
_space_group_name_H-M_alt 'P 4/m m m'
_space_group_IT_number 123
_space_group_name_Hall '-P 4 2'
loop_
_atom_site_label
_atom_site_type_symbol
_atom_site_fract_x
_atom_site_fract_y
_atom_site_fract_z
K1 K 0.000 0.500 0.000
Na1 Na 0.000 0.000 0.000
P1 P 0.500 0.500 0.500
Pb1 Pb 0.000 0.000 0.500
```


No. 2
This record from the Alexandria database describes a geometry-optimized Rb3MgO structure. The functional is PBE.

## Properties
- Raw formation energy: -171 kJ/mol of formula units
- Energy above the most stable polymorph in this dataset: 0 meV/atom
- Electronic total energy: -11.23 eV per formula unit

Geometry as CIF:
```
data_Rb3MgO
_chemical_formula_sum 'Rb3 Mg1 O1'
_cell_length_a 5.829
_cell_length_b 5.829
_cell_length_c 5.829
_cell_angle_alpha 90.00
_cell_angle_beta 90.00
_cell_angle_gamma 90.00
_space_group_name_H-M_alt 'P m -3 m'
_space_group_IT_number 221
_space_group_name_Hall '-P 4 2 3'
loop_
_atom_site_label
_atom_site_type_symbol
_atom_site_fract_x
_atom_site_fract_y
_atom_site_fract_z
Rb1 Rb 0.000 0.000 0.500
Mg1 Mg 0.500 0.500 0.500
O1 O 0.000 0.000 0.000
```


No. 3
This record from the Alexandria database describes a geometry-optimized La2PrDy5Y structure. The functional is PBE.

## Properties
- DFT formation energy: 0.25 eV per atom
- Electronic total energy: -41.86 eV per formula unit

Geometry as CIF:
```
data_La2PrDy5Y
_chemical_formula_sum 'La8 Pr4 Dy20 Y4'
_cell_length_a 8.734
_cell_length_b 8.734
_cell_length_c 15.819
_cell_angle_alpha 90.00
_cell_angle_beta 90.00
_cell_angle_gamma 90.00
_space_group_name_H-M_alt 'I 4/m c m'
_space_group_IT_number 140
_space_group_name_Hall '-I 4 2c'
loop_
_atom_site_label
_atom_site_type_symbol
_atom_site_fract_x
_atom_site_fract_y
_atom_site_fract_z
La1 La 0.117 0.383 0.000
Pr1 Pr 0.000 0.000 0.250
Dy1 Dy 0.000 0.000 0.000
Dy2 Dy 0.216 0.284 0.360
Y1 Y 0.000 0.500 0.250
```


No. 4
This record from the Alexandria database describes a geometry-optimized ZrCoRe structure. The functional is PBE.

## Properties
- Energy above the most stable polymorph in this dataset: 394 meV/atom
- DFT formation energy: 0.09 eV per atom
- Electronic total energy: -27.84 eV per formula unit

Geometry as CIF:
```
data_ZrCoRe
_chemical_formula_sum 'Zr2 Co2 Re2'
_cell_length_a 3.209
_cell_length_b 3.209
_cell_length_c 9.342
_cell_angle_alpha 90.00
_cell_angle_beta 90.00
_cell_angle_gamma 90.00
_space_group_name_H-M_alt 'I 4 m m'
_space_group_IT_number 107
_space_group_name_Hall 'I 4 -2'
loop_
_atom_site_label
_atom_site_type_symbol
_atom_site_fract_x
_atom_site_fract_y
_atom_site_fract_z
Zr1 Zr 0.000 0.000 0.000
Co1 Co 0.000 0.000 0.317
Re1 Re 0.000 0.000 0.684
```


No. 5
This record from the Alexandria database describes a geometry-optimized Zn2BiPt2 structure. The functional is PBE.

## Properties
- Energy above the most stable polymorph in this dataset: 176 meV/atom
- DFT formation energy: -0.15 eV per atom
- Electronic total energy: -19.24 eV per formula unit

Geometry as CIF:
```
data_Zn2BiPt2
_chemical_formula_sum 'Zn4 Bi2 Pt4'
_cell_length_a 4.115
_cell_length_b 4.115
_cell_length_c 11.105
_cell_angle_alpha 90.00
_cell_angle_beta 90.00
_cell_angle_gamma 90.00
_space_group_name_H-M_alt 'I 4/m m m'
_space_group_IT_number 139
_space_group_name_Hall '-I 4 2'
loop_
_atom_site_label
_atom_site_type_symbol
_atom_site_fract_x
_atom_site_fract_y
_atom_site_fract_z
Zn1 Zn 0.000 0.000 0.113
Bi1 Bi 0.000 0.000 0.500
Pt1 Pt 0.000 0.500 0.250
```


No. 6
This record from the Alexandria database describes a geometry-optimized Ac3La2Cd4 structure. The functional is PBE.

## Properties
- DFT formation energy: -0.11 eV per atom
- Electronic total energy: -26.79 eV per formula unit

Geometry as CIF:
```
data_Ac3La2Cd4
_chemical_formula_sum 'Ac12 La8 Cd16'
_cell_length_a 7.284
_cell_length_b 20.730
_cell_length_c 8.419
_cell_angle_alpha 90.00
_cell_angle_beta 90.00
_cell_angle_gamma 90.00
_space_group_name_H-M_alt 'C m c e'
_space_group_IT_number 64
_space_group_name_Hall '-C 2ac 2'
loop_
_atom_site_label
_atom_site_type_symbol
_atom_site_fract_x
_atom_site_fract_y
_atom_site_fract_z
Ac1 Ac 0.000 0.000 0.000
Ac2 Ac 0.250 0.248 0.250
La1 La 0.000 0.090 0.592
Cd1 Cd 0.000 0.155 0.986
Cd2 Cd 0.250 0.082 0.250
```


No. 7
This record from the Alexandria database describes a geometry-optimized ReAgBi2 structure. The functional is PBE.

## Properties
- Energy above the most stable polymorph in this dataset: 0 meV/atom
- DFT formation energy: 0.82 eV per atom
- Electronic total energy: -19.77 eV per formula unit

Geometry as CIF:
```
data_ReAgBi2
_chemical_formula_sum 'Re4 Ag4 Bi8'
_cell_length_a 7.062
_cell_length_b 7.062
_cell_length_c 7.062
_cell_angle_alpha 90.00
_cell_angle_beta 90.00
_cell_angle_gamma 90.00
_space_group_name_H-M_alt 'F m -3 m'
_space_group_IT_number 225
_space_group_name_Hall '-F 4 2 3'
loop_
_atom_site_label
_atom_site_type_symbol
_atom_site_fract_x
_atom_site_fract_y
_atom_site_fract_z
Re1 Re 0.000 0.000 0.000
Ag1 Ag 0.000 0.000 0.500
Bi1 Bi 0.250 0.250 0.250
```


No. 8
This record from the Alexandria database describes a geometry-optimized ThPd5Pt2 structure. The functional is PBE.

## Properties
- Energy above the most stable polymorph in this dataset: 0 meV/atom
- DFT formation energy: -0.54 eV per atom
- Electronic total energy: -49.77 eV per formula unit

Geometry as CIF:
```
data_ThPd5Pt2
_chemical_formula_sum 'Th2 Pd10 Pt4'
_cell_length_a 5.793
_cell_length_b 11.479
_cell_length_c 4.126
_cell_angle_alpha 90.00
_cell_angle_beta 90.00
_cell_angle_gamma 90.00
_space_group_name_H-M_alt 'P b a m'
_space_group_IT_number 55
_space_group_name_Hall '-P 2 2ab'
loop_
_atom_site_label
_atom_site_type_symbol
_atom_site_fract_x
_atom_site_fract_y
_atom_site_fract_z
Th1 Th 0.000 0.000 0.000
Pd1 Pd 0.000 0.500 0.000
Pd2 Pd 0.007 0.252 0.000
Pd3 Pd 0.247 0.372 0.500
Pt1 Pt 0.240 0.628 0.500
```


No. 9
This record from the Alexandria database describes a geometry-optimized Ac2ErSe4 structure. The functional is PBE.

## Properties
- Raw formation energy: -1226 kJ/mol of formula units
- Energy above the most stable polymorph in this dataset: 53 meV/atom
- Electronic total energy: -39.43 eV per formula unit

Geometry as CIF:
```
data_Ac2ErSe4
_chemical_formula_sum 'Ac8 Er4 Se16'
_cell_length_a 4.110
_cell_length_b 14.759
_cell_length_c 14.457
_cell_angle_alpha 90.00
_cell_angle_beta 90.00
_cell_angle_gamma 90.00
_space_group_name_H-M_alt 'C m c m'
_space_group_IT_number 63
_space_group_name_Hall '-C 2c 2'
loop_
_atom_site_label
_atom_site_type_symbol
_atom_site_fract_x
_atom_site_fract_y
_atom_site_fract_z
Ac1 Ac 0.000 0.131 0.077
Er1 Er 0.000 0.371 0.250
Se1 Se 0.000 0.009 0.250
Se2 Se 0.000 0.214 0.629
Se3 Se 0.000 0.500 0.000
```


No. 10
This record from the Alexandria database describes a geometry-optimized Ce8Pu2Tl structure. The functional is PBE.

## Properties
- DFT formation energy: 0.07 eV per atom
- Electronic total energy: -77.70 eV per formula unit

Geometry as CIF:
```
data_Ce8Pu2Tl
_chemical_formula_sum 'Ce16 Pu4 Tl2'
_cell_length_a 7.644
_cell_length_b 13.153
_cell_length_c 5.672
_cell_angle_alpha 90.00
_cell_angle_beta 95.56
_cell_angle_gamma 90.00
_space_group_name_H-M_alt 'C 1 m 1'
_space_group_IT_number 8
_space_group_name_Hall 'C -2y'
loop_
_atom_site_label
_atom_site_type_symbol
_atom_site_fract_x
_atom_site_fract_y
_atom_site_fract_z
Ce1 Ce 0.000 0.000 0.000
Ce2 Ce 0.161 0.240 0.811
Ce3 Ce 0.241 0.000 0.502
Ce4 Ce 0.406 0.303 0.348
Ce5 Ce 0.496 0.110 0.079
Pu1 Pu 0.193 0.144 0.187
Tl1 Tl 0.184 0.500 0.580
```


No. 11
This record from the Alexandria database describes a geometry-optimized VHRh2 structure. The functional is PBE.

## Properties
- Energy above the most stable polymorph in this dataset: 356 meV/atom
- Electronic total energy: -26.86 eV per formula unit

Geometry as CIF:
```
data_VHRh2
_chemical_formula_sum 'V4 H4 Rh8'
_cell_length_a 5.742
_cell_length_b 5.742
_cell_length_c 5.742
_cell_angle_alpha 90.00
_cell_angle_beta 90.00
_cell_angle_gamma 90.00
_space_group_name_H-M_alt 'F m -3 m'
_space_group_IT_number 225
_space_group_name_Hall '-F 4 2 3'
loop_
_atom_site_label
_atom_site_type_symbol
_atom_site_fract_x
_atom_site_fract_y
_atom_site_fract_z
V1 V 0.000 0.000 0.000
H1 H 0.000 0.000 0.500
Rh1 Rh 0.250 0.250 0.250
```


No. 12
This record from the Alexandria database describes a geometry-optimized CsP2H2 structure. The functional is PBE.

## Properties
- Energy above the most stable polymorph in this dataset: 762 meV/atom
- Electronic total energy: -15.75 eV per formula unit

Geometry as CIF:
```
data_CsP2H2
_chemical_formula_sum 'Cs2 P4 H4'
_cell_length_a 4.755
_cell_length_b 4.755
_cell_length_c 8.636
_cell_angle_alpha 90.00
_cell_angle_beta 90.00
_cell_angle_gamma 90.00
_space_group_name_H-M_alt 'I 4/m m m'
_space_group_IT_number 139
_space_group_name_Hall '-I 4 2'
loop_
_atom_site_label
_atom_site_type_symbol
_atom_site_fract_x
_atom_site_fract_y
_atom_site_fract_z
Cs1 Cs 0.000 0.000 0.000
P1 P 0.000 0.000 0.385
H1 H 0.000 0.500 0.250
```


What did the second record say?
This record from the Alexandria database describes a geometry-optimized Rb3MgO structure. The functional is PBE.

## Properties
- Raw formation energy: -171 kJ/mol of formula units
- Energy above the most stable polymorph in this dataset: 0 meV/atom
- Electronic total energy: -11.23 eV per formula unit

Geometry as CIF:
```
data_Rb3MgO
_chemical_formula_sum 'Rb3 Mg1 O1'
_cell_length_a 5.829
_cell_length_b 5.829
_cell_length_c 5.829
_cell_angle_alpha 90.00
_cell_angle_beta 90.00
_cell_angle_gamma 90.00
_space_group_name_H-M_alt 'P m -3 m'
_space_group_IT_number 221
_space_group_name_Hall '-P 4 2 3'
loop_
_atom_site_label
_atom_site_type_symbol
_atom_site_fract_x
_atom_site_fract_y
_atom_site_fract_z
Rb1 Rb 0.000 0.000 0.500
Mg1 Mg 0.500 0.500 0.500
O1 O 0.000 0.000 0.000
```


> The lowest electronic total energy belongs to which entry?

Ce8Pu2Tl


> Among the records above, which one has the lowest electronic total energy?

Ce8Pu2Tl